# 1
# BaSrN4 | the Alexandria database | PBE | optimized geometry
# Mass density   4.5 Mg/m³
# VASP energy   -6.64 eV per atom
# Raw formation energy   -488.1 meV/atom
data_BaSrN4
_chemical_formula_sum 'Ba2 Sr2 N8'
_cell_length_a 7.616
_cell_length_b 3.978
_cell_length_c 7.640
_cell_angle_alpha 90.00
_cell_angle_beta 116.50
_cell_angle_gamma 90.00
_space_group_name_H-M_alt 'C 1 2/m 1'
_space_group_IT_number 12
_space_group_name_Hall '-C 2y'
loop_
_atom_site_label
_atom_site_fract_x
_atom_site_fract_y
_atom_site_fract_z
_atom_site_occupancy
Ba1 0.000 0.000 0.000 1
Sr1 0.000 0.500 0.500 1
N1 0.194 0.000 0.778 1
N2 0.209 0.500 0.317 1



# 2
# Tb8HgOs2 | the Alexandria database | PBE | optimized geometry
# Mass density   10.0 Mg/m³
# VASP energy   -5.62 eV per atom
# Formation energy   -0.184 eV/atom
data_Tb8HgOs2
_chemical_formula_sum 'Tb16 Hg2 Os4'
_cell_length_a 8.756
_cell_length_b 13.024
_cell_length_c 5.542
_cell_angle_alpha 90.00
_cell_angle_beta 103.72
_cell_angle_gamma 90.00
_space_group_name_H-M_alt 'C 1 m 1'
_space_group_IT_number 8
_space_group_name_Hall 'C -2y'
loop_
_atom_site_label
_atom_site_fract_x
_atom_site_fract_y
_atom_site_fract_z
_atom_site_occupancy
Tb1 0.000 0.000 0.000 1
Tb2 0.077 0.367 0.785 1
Tb3 0.183 0.133 0.617 1
Tb4 0.262 0.500 0.403 1
Tb5 0.380 0.246 0.201 1
Hg1 0.381 0.000 0.201 1
Os1 0.380 0.314 0.701 1



mass density of number 2 (Tb8HgOs2)?
10.0 Mg/m³



Repeat the first record exactly.
# BaSrN4 | the Alexandria database | PBE | optimized geometry
# Mass density   4.5 Mg/m³
# VASP energy   -6.64 eV per atom
# Raw formation energy   -488.1 meV/atom
data_BaSrN4
_chemical_formula_sum 'Ba2 Sr2 N8'
_cell_length_a 7.616
_cell_length_b 3.978
_cell_length_c 7.640
_cell_angle_alpha 90.00
_cell_angle_beta 116.50
_cell_angle_gamma 90.00
_space_group_name_H-M_alt 'C 1 2/m 1'
_space_group_IT_number 12
_space_group_name_Hall '-C 2y'
loop_
_atom_site_label
_atom_site_fract_x
_atom_site_fract_y
_atom_site_fract_z
_atom_site_occupancy
Ba1 0.000 0.000 0.000 1
Sr1 0.000 0.500 0.500 1
N1 0.194 0.000 0.778 1
N2 0.209 0.500 0.317 1



Which value of mass density does entry 1 give?
4.5 Mg/m³